1.
Er2ZnCo | PBE | optimized geometry

a b c (Å): 6.820 6.820 6.820
angles (deg): 90.00 90.00 90.00
Space group Fm-3m (No. 225)
Asymmetric unit:
Er1 0.250 0.250 0.250 [8 per cell]
Zn1 0.000 0.000 0.000 [4 per cell]
Co1 0.000 0.000 0.500 [4 per cell]

Results
N(E_F), states/eV/f.u.: 2.89
Magnetization, μB/f.u.: 0.000
Energy above the most stable polymorph in this dataset, eV per formula unit: 0.13
Density, g cm⁻³: 9.61
DFT total energy, eV per atom: -4.635

=====

2.
Cs3Ce3TcS8 | PBE | optimized geometry

a b c (Å): 8.0737 8.0737 24.6966
angles (deg): 90.00 90.00 120.00
Space group R-3m (No. 166, hexagonal axes)
Asymmetric unit:
Cs1 0.0000 0.5000 0.0000 [9 per cell]
Ce1 0.0000 0.5000 0.5000 [9 per cell]
Tc1 0.0000 0.0000 0.5000 [3 per cell]
S1 0.0000 0.0000 0.2295 [6 per cell]
S2 0.0304 0.5152 0.2233 [18 per cell]

Results
N(E_F), states/eV/f.u.: 20.98
Energy relative to the elements, uncorrected, eV/f.u.: -21.5
Magnetization, μB/f.u.: 3.503
Density, g cm⁻³: 4.19
DFT total energy, eV per atom: -5.682

=====

3.
MgC3 | PBE | optimized geometry

a b c (Å): 2.459 5.492 6.867
angles (deg): 90.00 90.00 90.00
Space group Immm (No. 71)
Asymmetric unit:
Mg1 0.000 0.000 0.000 [2 per cell]
C1 0.000 0.173 0.500 [4 per cell]
C2 0.000 0.500 0.000 [2 per cell]

Results
N(E_F), states/eV/f.u.: 1.09
Magnetization, μB/f.u.: 0.000
Energy above the most stable polymorph in this dataset, eV per formula unit: 3.90
Density, g cm⁻³: 2.16
DFT total energy, eV per atom: -5.677

=====

4.
Mg2TaAs | PBE | optimized geometry

a b c (Å): 3.441 3.441 6.301
angles (deg): 90.00 90.00 90.00
Space group P4mm (No. 99)
Asymmetric unit:
Mg1 0.000 0.000 0.000 [1 per cell]
Mg2 0.500 0.500 0.274 [1 per cell]
Ta1 0.000 0.000 0.538 [1 per cell]
As1 0.500 0.500 0.732 [1 per cell]

Results
N(E_F), states/eV/f.u.: 1.69
Magnetization, μB/f.u.: 0.000
Density, g cm⁻³: 6.78
DFT total energy, eV per atom: -5.019

=====

5.
Th4CSeS2 | PBE | optimized geometry

a b c (Å): 6.914 3.975 7.148
angles (deg): 90.00 108.70 90.00
Space group P2/m (No. 10)
Asymmetric unit:
Th1 0.228 0.000 0.217 [2 per cell]
Th2 0.246 0.500 0.775 [2 per cell]
C1 0.000 0.500 0.000 [1 per cell]
Se1 0.000 0.000 0.500 [1 per cell]
S1 0.500 0.000 0.000 [1 per cell]
S2 0.500 0.500 0.500 [1 per cell]

Results
N(E_F), states/eV/f.u.: 4.93
Energy relative to the elements, uncorrected, eV/f.u.: -11.2
Magnetization, μB/f.u.: 0.000
Density, g cm⁻³: 9.67
DFT total energy, eV per atom: -7.733

=====

6.
Sb2AsSI | PBE | optimized geometry

a b c (Å): 5.489 5.489 5.373
angles (deg): 90.00 90.00 90.00
Space group P4/mmm (No. 123)
Asymmetric unit:
Sb1 0.000 0.500 0.000 [2 per cell]
As1 0.000 0.000 0.000 [1 per cell]
S1 0.500 0.500 0.500 [1 per cell]
I1 0.000 0.000 0.500 [1 per cell]

Results
N(E_F), states/eV/f.u.: 5.73
Energy relative to the elements, uncorrected, eV/f.u.: 4.2
Magnetization, μB/f.u.: 0.357
Energy above the most stable polymorph in this dataset, eV per formula unit: 0.23
Density, g cm⁻³: 4.90
DFT total energy, eV per atom: -2.865

=====

7.
TlRuCl | PBE | optimized geometry

a b c (Å): 6.475 6.475 6.475
angles (deg): 90.00 90.00 90.00
Space group F-43m (No. 216)
Asymmetric unit:
Tl1 0.000 0.000 0.000 [4 per cell]
Ru1 0.250 0.250 0.750 [4 per cell]
Cl1 0.000 0.000 0.500 [4 per cell]

Results
N(E_F), states/eV/f.u.: 4.48
Energy relative to the elements, uncorrected, eV/f.u.: 2.0
Magnetization, μB/f.u.: 1.314
Energy above the most stable polymorph in this dataset, eV per formula unit: 0.99
Density, g cm⁻³: 8.34
DFT total energy, eV per atom: -3.815

=====

8.
V3Cu | PBE | optimized geometry

a b c (Å): 2.379 4.468 4.967
angles (deg): 90.00 90.00 90.00
Space group Pmm2 (No. 25)
Asymmetric unit:
V1 0.000 0.000 0.000 [1 per cell]
V2 0.000 0.500 0.285 [1 per cell]
V3 0.500 0.500 0.789 [1 per cell]
Cu1 0.500 0.000 0.496 [1 per cell]

Results
N(E_F), states/eV/f.u.: 4.71
Magnetization, μB/f.u.: 0.000
Density, g cm⁻³: 6.81
DFT total energy, eV per atom: -7.689

=====

9.
Pu4Se6Cl | PBE | optimized geometry

a b c (Å): 8.8628 8.8628 3.9948
angles (deg): 90.00 90.00 120.00
Space group P-6m2 (No. 187)
Asymmetric unit:
Pu1 0.0000 0.0000 0.0000 [1 per cell]
Pu2 0.0204 0.5102 0.5000 [3 per cell]
Se1 0.2074 0.4148 0.0000 [3 per cell]
Se2 0.2764 0.1382 0.5000 [3 per cell]
Cl1 0.6667 0.3333 0.0000 [1 per cell]

Results
N(E_F), states/eV/f.u.: 35.74
Energy relative to the elements, uncorrected, eV/f.u.: -14.7
Magnetization, μB/f.u.: 18.987
Density, g cm⁻³: 9.08
DFT total energy, eV per atom: -8.620

=====

10.
CdAg2Br5 | PBE | optimized geometry

a b c (Å): 5.542 14.172 13.127
angles (deg): 90.00 90.00 90.00
Space group Cmcm (No. 63)
Asymmetric unit:
Cd1 0.000 0.219 0.250 [4 per cell]
Ag1 0.000 0.146 0.564 [8 per cell]
Br1 0.000 0.070 0.117 [8 per cell]
Br2 0.000 0.223 0.750 [4 per cell]
Br3 0.000 0.340 0.079 [8 per cell]

Results
N(E_F), states/eV/f.u.: 3.58
Energy relative to the elements, uncorrected, eV/f.u.: -3.6
Magnetization, μB/f.u.: 0.000
Density, g cm⁻³: 4.69
DFT total energy, eV per atom: -2.324

=====

11.
CoIr2Au | PBE | optimized geometry

a b c (Å): 7.071 7.071 5.096
angles (deg): 90.00 90.00 90.00
Space group I-42d (No. 122)
Asymmetric unit:
Co1 0.000 0.000 0.000 [4 per cell]
Ir1 0.202 0.250 0.125 [8 per cell]
Au1 0.000 0.000 0.500 [4 per cell]

Results
N(E_F), states/eV/f.u.: 4.36
Magnetization, μB/f.u.: 2.133
Energy above the most stable polymorph in this dataset, eV per formula unit: 1.96
Density, g cm⁻³: 16.69
DFT total energy, eV per atom: -6.359

=====

12.
Cs2PrTlF6 | PBE | optimized geometry

a b c (Å): 10.020 10.020 10.020
angles (deg): 90.00 90.00 90.00
Space group Fm-3m (No. 225)
Asymmetric unit:
Cs1 0.250 0.250 0.250 [8 per cell]
Pr1 0.000 0.000 0.000 [4 per cell]
Tl1 0.000 0.000 0.500 [4 per cell]
F1 0.000 0.000 0.230 [24 per cell]

Results
N(E_F), states/eV/f.u.: 0.00
Energy relative to the elements, uncorrected, eV/f.u.: -30.5
Magnetization, μB/f.u.: 0.000
Density, g cm⁻³: 4.79
DFT total energy, eV per atom: -5.061

=====

> What is the formula in the sixth record?

Sb2AsSI

=====

> Among the records above, which one has the highest DFT total energy?

CdAg2Br5